Record 1
Here is a geometry-optimized Sr2Zn3Ni structure from Alexandria via LeMat-Bulk. Energies are from PBE.

abc: 4.490 5.416 12.066
angles: 90.00 90.00 90.00
Space group Immm (No. 71)
Unique sites:
Sr 0.000 0.000 0.206 (multiplicity 4)
Zn 0.000 0.500 0.099 (multiplicity 4)
Zn 0.000 0.500 0.500 (multiplicity 2)
Ni 0.000 0.000 0.500 (multiplicity 2)

Results
E above lowest polymorph: 219 meV/atom

Record 2
Here is a geometry-optimized SrZnNi structure from Alexandria via LeMat-Bulk. Energies are from PBE.

abc: 4.2513 4.2513 4.3592
angles: 90.00 90.00 120.00
Space group P-6m2 (No. 187)
Unique sites:
Sr 0.0000 0.0000 0.0000 (multiplicity 1)
Zn 0.6667 0.3333 0.5000 (multiplicity 1)
Ni 0.3333 0.6667 0.5000 (multiplicity 1)

Record 3
Here is a geometry-optimized SrZn7Ni5 structure from Alexandria via LeMat-Bulk. Energies are from PBE.

abc: 5.066 8.664 8.590
angles: 90.00 90.00 90.00
Space group Imm2 (No. 44)
Unique sites:
Sr 0.000 0.000 0.000 (multiplicity 2)
Zn 0.000 0.000 0.339 (multiplicity 2)
Zn 0.000 0.000 0.651 (multiplicity 2)
Zn 0.000 0.280 0.498 (multiplicity 4)
Zn 0.000 0.348 0.984 (multiplicity 4)
Zn 0.000 0.500 0.260 (multiplicity 2)
Ni 0.000 0.500 0.730 (multiplicity 2)
Ni 0.248 0.251 0.244 (multiplicity 8)

Record 4
Here is a geometry-optimized Sr5ZnNi4 structure from Alexandria via LeMat-Bulk. Energies are from PBE.

abc: 19.388 4.094 7.858
angles: 90.00 112.41 90.00
Space group C2/m (No. 12)
Unique sites:
Sr 0.000 0.000 0.000 (multiplicity 2)
Sr 0.133 0.500 0.748 (multiplicity 4)
Sr 0.190 0.500 0.289 (multiplicity 4)
Zn 0.000 0.000 0.500 (multiplicity 2)
Ni 0.042 0.500 0.360 (multiplicity 4)
Ni 0.112 0.000 0.429 (multiplicity 4)

Number 1: E -2.139 eV/atom, formation energy 0.132 eV per formula unit. Number 2: E -3.079 eV/atom, formation energy -0.501 eV per formula unit. Number 3: E -3.255 eV/atom, formation energy -2.810 eV per formula unit. Number 4: E -3.341 eV/atom, formation energy -0.606 eV per formula unit.